Record 1
The following is a DFT calculation (PBE) of crystalline GdYMgCu at its relaxed geometry.

Values from the calculation:
V: 389.3 Å³ per cell
Calculated density: 5.70 g cm⁻³
Formation energy: -0.069 eV/atom
E_tot: -106.05 eV/cell

Geometry as CIF:
```
data_GdYMgCu
_cell_length_a 7.3018
_cell_length_b 7.3018
_cell_length_c 7.3018
_cell_angle_alpha 90.00
_cell_angle_beta 90.00
_cell_angle_gamma 90.00
_space_group_name_H-M_alt 'F -4 3 m'
_space_group_IT_number 216
_space_group_name_Hall 'F -4 2 3'
loop_
_atom_site_label
_atom_site_fract_x
_atom_site_fract_y
_atom_site_fract_z
_atom_site_occupancy
Gd1 0.0000 0.0000 0.0000 1
Y1 0.0000 0.0000 0.5000 1
Mg1 0.2500 0.2500 0.7500 1
Cu1 0.2500 0.2500 0.2500 1
```

***

Record 2
The following is a DFT calculation (PBE) of crystalline Gd2MnCu at its relaxed geometry.

Values from the calculation:
V: 89.3 Å³ per cell
Calculated density: 8.05 g cm⁻³
Formation energy: 0.044 eV/atom
E_tot: -41.25 eV/cell

Geometry as CIF:
```
data_Gd2MnCu
_cell_length_a 3.5304
_cell_length_b 3.5304
_cell_length_c 7.1620
_cell_angle_alpha 90.00
_cell_angle_beta 90.00
_cell_angle_gamma 90.00
_space_group_name_H-M_alt 'P 4/m m m'
_space_group_IT_number 123
_space_group_name_Hall '-P 4 2'
loop_
_atom_site_label
_atom_site_fract_x
_atom_site_fract_y
_atom_site_fract_z
_atom_site_occupancy
Gd1 0.0000 0.0000 0.2456 1
Mn1 0.5000 0.5000 0.5000 1
Cu1 0.5000 0.5000 0.0000 1
```

***

Record 3
The following is a DFT calculation (PBE) of crystalline GdMnCu2 at its relaxed geometry.

Values from the calculation:
V: 220.3 Å³ per cell
Calculated density: 7.67 g cm⁻³
Formation energy: -0.013 eV/atom
E_tot: -94.49 eV/cell

Geometry as CIF:
```
data_GdMnCu2
_cell_length_a 4.3084
_cell_length_b 4.3084
_cell_length_c 13.7063
_cell_angle_alpha 90.00
_cell_angle_beta 90.00
_cell_angle_gamma 120.00
_space_group_name_H-M_alt 'R -3 m'
_space_group_IT_number 166
_space_group_name_Hall '-R 3 2"'
loop_
_atom_site_label
_atom_site_fract_x
_atom_site_fract_y
_atom_site_fract_z
_atom_site_occupancy
Gd1 0.0000 0.0000 0.0000 1
Mn1 0.0000 0.0000 0.5000 1
Cu1 0.0000 0.0000 0.2057 1
```

***

Record 4
The following is a DFT calculation (PBE) of crystalline PmGdMnCu at its relaxed geometry.

Values from the calculation:
V: 364.0 Å³ per cell
Calculated density: 7.68 g cm⁻³
Formation energy: 0.097 eV/atom
E_tot: -126.84 eV/cell

Geometry as CIF:
```
data_PmGdMnCu
_cell_length_a 7.1400
_cell_length_b 7.1400
_cell_length_c 7.1400
_cell_angle_alpha 90.00
_cell_angle_beta 90.00
_cell_angle_gamma 90.00
_space_group_name_H-M_alt 'F -4 3 m'
_space_group_IT_number 216
_space_group_name_Hall 'F -4 2 3'
loop_
_atom_site_label
_atom_site_fract_x
_atom_site_fract_y
_atom_site_fract_z
_atom_site_occupancy
Pm1 0.0000 0.0000 0.0000 1
Gd1 0.0000 0.0000 0.5000 1
Mn1 0.2500 0.2500 0.2500 1
Cu1 0.2500 0.2500 0.7500 1
```

***

Record 5
The following is a DFT calculation (PBE) of crystalline PrGdMnCu at its relaxed geometry.

Values from the calculation:
V: 369.9 Å³ per cell
Calculated density: 7.48 g cm⁻³
Formation energy: 0.078 eV/atom
E_tot: -127.26 eV/cell

Geometry as CIF:
```
data_PrGdMnCu
_cell_length_a 7.1781
_cell_length_b 7.1781
_cell_length_c 7.1781
_cell_angle_alpha 90.00
_cell_angle_beta 90.00
_cell_angle_gamma 90.00
_space_group_name_H-M_alt 'F -4 3 m'
_space_group_IT_number 216
_space_group_name_Hall 'F -4 2 3'
loop_
_atom_site_label
_atom_site_fract_x
_atom_site_fract_y
_atom_site_fract_z
_atom_site_occupancy
Pr1 0.0000 0.0000 0.0000 1
Gd1 0.0000 0.0000 0.5000 1
Mn1 0.2500 0.2500 0.2500 1
Cu1 0.2500 0.2500 0.7500 1
```

***

Record 6
The following is a DFT calculation (PBE) of crystalline GdScMnCu at its relaxed geometry.

Values from the calculation:
V: 315.8 Å³ per cell
Calculated density: 6.75 g cm⁻³
Formation energy: 0.059 eV/atom
E_tot: -133.77 eV/cell

Geometry as CIF:
```
data_GdScMnCu
_cell_length_a 6.8098
_cell_length_b 6.8098
_cell_length_c 6.8098
_cell_angle_alpha 90.00
_cell_angle_beta 90.00
_cell_angle_gamma 90.00
_space_group_name_H-M_alt 'F -4 3 m'
_space_group_IT_number 216
_space_group_name_Hall 'F -4 2 3'
loop_
_atom_site_label
_atom_site_fract_x
_atom_site_fract_y
_atom_site_fract_z
_atom_site_occupancy
Gd1 0.0000 0.0000 0.0000 1
Sc1 0.0000 0.0000 0.5000 1
Mn1 0.2500 0.2500 0.7500 1
Cu1 0.2500 0.2500 0.2500 1
```

***

Record 7
The following is a DFT calculation (PBE) of crystalline SmGdMnCu at its relaxed geometry.

Values from the calculation:
V: 360.6 Å³ per cell
Calculated density: 7.85 g cm⁻³
Formation energy: 0.090 eV/atom
E_tot: -126.82 eV/cell

Geometry as CIF:
```
data_SmGdMnCu
_cell_length_a 7.1181
_cell_length_b 7.1181
_cell_length_c 7.1181
_cell_angle_alpha 90.00
_cell_angle_beta 90.00
_cell_angle_gamma 90.00
_space_group_name_H-M_alt 'F -4 3 m'
_space_group_IT_number 216
_space_group_name_Hall 'F -4 2 3'
loop_
_atom_site_label
_atom_site_fract_x
_atom_site_fract_y
_atom_site_fract_z
_atom_site_occupancy
Sm1 0.0000 0.0000 0.0000 1
Gd1 0.0000 0.0000 0.5000 1
Mn1 0.2500 0.2500 0.7500 1
Cu1 0.2500 0.2500 0.2500 1
```

***

Record 8
The following is a DFT calculation (PBE) of crystalline GdThMnCu at its relaxed geometry.

Values from the calculation:
V: 351.8 Å³ per cell
Calculated density: 9.59 g cm⁻³
Formation energy: 0.047 eV/atom
E_tot: -138.31 eV/cell

Geometry as CIF:
```
data_GdThMnCu
_cell_length_a 7.0597
_cell_length_b 7.0597
_cell_length_c 7.0597
_cell_angle_alpha 90.00
_cell_angle_beta 90.00
_cell_angle_gamma 90.00
_space_group_name_H-M_alt 'F -4 3 m'
_space_group_IT_number 216
_space_group_name_Hall 'F -4 2 3'
loop_
_atom_site_label
_atom_site_fract_x
_atom_site_fract_y
_atom_site_fract_z
_atom_site_occupancy
Gd1 0.0000 0.0000 0.0000 1
Th1 0.0000 0.0000 0.5000 1
Mn1 0.2500 0.2500 0.7500 1
Cu1 0.2500 0.2500 0.2500 1
```

***

Question: Look up the formation energy of the third one.
Answer: -0.013 eV/atom